Tc3Mo | PBE | optimized geometry

abc: 2.7715 2.7715 8.9747
angles: 90.00 90.00 120.00
Last column: nearest neighbours and their distance in Å.
Space group P-6m2 (No. 187)
Symmetry-distinct sites (fractional):
Tc  0.0000  0.0000  0.0000 (multiplicity 1)  12 Tc 2.70-2.77
Tc  0.3333  0.6667  0.2430 (multiplicity 2)  9 Tc 2.70-2.77, 3 Mo 2.81
Mo  0.0000  0.0000  0.5000 (multiplicity 1)  6 Mo 2.77, 6 Tc 2.81

Computed properties:
V = 60 Å³/cell
DOS at the Fermi energy = 5.04 states/eV/f.u.
Energy relative to the lowest polymorph listed for this composition = 0.0374 eV/atom

***

TcMo5 | PBE | optimized geometry

abc: 4.4555 13.3638 3.1552
angles: 90.00 90.00 90.00
Last column: nearest neighbours and their distance in Å.
Space group Cmmm (No. 65)
Symmetry-distinct sites (fractional):
Tc  0.0000  0.0000  0.0000 (multiplicity 2)  8 Mo 2.73-2.74
Mo  0.0000  0.1672  0.5000 (multiplicity 4)  6 Mo 2.73-2.74, 2 Tc 2.74
Mo  0.0000  0.3347  0.0000 (multiplicity 4)  8 Mo 2.71-2.74
Mo  0.0000  0.5000  0.5000 (multiplicity 2)  4 Mo 2.71, 4 Tc 2.73

Computed properties:
V = 188 Å³/cell
DOS at the Fermi energy = 4.01 states/eV/f.u.
Energy relative to the lowest polymorph listed for this composition = 0.0000 eV/atom

***

- Among the records above, which one has the highest V?
  TcMo5

***

- Among the records above, which one has the highest V?
  TcMo5